A geometry-optimized HfVBi2 structure, computed with PBE.

Geometry as POSCAR:
```
HfVBi2
1.0
-2.4474 5.3978 2.7176
0.1056 -2.8933 5.8420
4.9837 3.5306 5.2969
Hf Bi V
2 4 2
Direct
0.0000 0.0000 0.0000
0.7500 0.2500 0.5000
0.6147 0.1250 0.2500
0.1353 0.6250 0.2500
0.3750 0.3853 0.7500
0.8750 0.8647 0.7500
0.5000 0.5000 0.0000
0.2500 0.7500 0.5000
```

Results
As for the energy relative to the elements: 720 meV/atom. The crystal system is tetragonal. As for the relative energy among the computed polymorphs: 0.426 eV/atom. Its space group is I-42d.

A geometry-optimized GeBP2 structure, computed with PBE.

Geometry as POSCAR:
```
GeBP2
1.0
-1.8690 -0.6790 3.3028
-1.3983 -3.5166 0.7358
4.1775 -2.9351 4.0106
P Ge B
2 1 1
Direct
0.0970 0.0970 0.7089
0.9030 0.9030 0.2911
0.5000 0.5000 0.5000
0.0000 0.0000 0.0000
```

Results
As for the energy relative to the elements: 472 meV/atom. The crystal system is trigonal. As for the relative energy among the computed polymorphs: 0.427 eV/atom. Its space group is R-3m.

A geometry-optimized RbInAgSb2 structure, computed with PBE.

Geometry as POSCAR:
```
RbInAgSb2
1.0
-0.1043 -3.8262 -2.3756
4.4611 -0.4138 0.4707
-3.2840 -2.0686 7.7472
Rb In Ag Sb
1 1 1 2
Direct
0.0000 0.0000 0.0000
0.7500 0.2500 0.5000
0.2500 0.7500 0.5000
0.6346 0.6346 0.2692
0.3654 0.3654 0.7308
```

Results
The crystal system is tetragonal. The uncorrected formation energy is -0.195 eV per atom. Its space group is I-4m2.

Values of DOS at the Fermi energy, in order: 4.9 2.4 2.6, all in states/eV/cell.